No. 1
VASP calculation (PBE) on a relaxed MgPa4 crystal.

abc: 5.2843 5.2843 5.2843
angles: 90.00 90.00 90.00
With the nearest neighbours (Å) after each atom.
Space group Pm-3m (No. 221)
Inequivalent atoms, fractional coordinates:
Mg (0.0000, 0.0000, 0.0000)  6 Pa 2.64
Pa (0.0000, 0.0000, 0.5000)  2 Mg 2.64
Pa (0.5000, 0.5000, 0.5000)  12 Pa 3.74

***

No. 2
VASP calculation (PBE) on a relaxed MgPa5 crystal.

abc: 5.5192 16.6321 3.2029
angles: 90.00 90.00 90.00
With the nearest neighbours (Å) after each atom.
Space group Cmmm (No. 65)
Inequivalent atoms, fractional coordinates:
Mg (0.0000, 0.0000, 0.0000)  8 Pa 3.19-3.31, 2 Mg 3.20
Pa (0.0000, 0.1741, 0.5000)  8 Pa 3.20, 2 Mg 3.31
Pa (0.0000, 0.3403, 0.0000)  10 Pa 3.10-3.20
Pa (0.0000, 0.5000, 0.5000)  6 Pa 3.10-3.20, 4 Mg 3.19

***

No. 3
VASP calculation (PBE) on a relaxed MgPa3 crystal.

Computed properties:
* offset from the most stable computed form: 0.0 meV per atom

abc: 5.4894 5.4894 3.2333
angles: 90.00 90.00 90.00
With the nearest neighbours (Å) after each atom.
Space group P4/mmm (No. 123)
Inequivalent atoms, fractional coordinates:
Mg (0.0000, 0.0000, 0.0000)  8 Pa 3.19, 2 Mg 3.23
Pa (0.0000, 0.5000, 0.5000)  6 Pa 3.19-3.23, 4 Mg 3.19
Pa (0.5000, 0.5000, 0.0000)  10 Pa 3.19-3.23

***

No. 4
VASP calculation (PBE) on a relaxed MgPa3 crystal.

Computed properties:
* offset from the most stable computed form: 35.4 meV per atom

abc: 4.5815 4.5815 9.1208
angles: 90.00 90.00 90.00
With the nearest neighbours (Å) after each atom.
Space group I4/mmm (No. 139)
Inequivalent atoms, fractional coordinates:
Mg (0.0000, 0.0000, 0.0000)  12 Pa 3.23-3.24
Pa (0.0000, 0.0000, 0.5000)  8 Pa 3.23, 4 Mg 3.24
Pa (0.0000, 0.5000, 0.2500)  8 Pa 3.23-3.24, 4 Mg 3.23

***

No. 5
VASP calculation (PBE) on a relaxed MgPa3 crystal.

Computed properties:
* offset from the most stable computed form: 21.0 meV per atom

abc: 3.1170 10.8522 5.7268
angles: 90.00 90.00 90.00
With the nearest neighbours (Å) after each atom.
Space group Imm2 (No. 44)
Inequivalent atoms, fractional coordinates:
Mg (0.0000, 0.0000, 0.0000)  2 Mg 3.12, 10 Pa 3.23-3.29
Pa (0.0000, 0.2596, 0.2791)  9 Pa 3.08-3.45, 3 Mg 3.24-3.29
Pa (0.0000, 0.5000, 0.9938)  8 Pa 3.08-3.45, 4 Mg 3.23-3.29

***

No. 6
VASP calculation (PBE) on a relaxed MgPaPb crystal.

abc: 5.1657 5.1657 3.3411
angles: 90.00 90.00 120.00
With the nearest neighbours (Å) after each atom.
Space group P3m1 (No. 156)
Inequivalent atoms, fractional coordinates:
Mg (0.0000, 0.0000, 0.0000)  3 Pb 2.98
Pa (0.6667, 0.3333, 0.5007)  2 Pa 3.34, 6 Pb 3.42, 6 Mg 3.42
Pb (0.3333, 0.6667, 0.0020)  3 Mg 2.98

***

Formation energy from the elements per entry: 1488, 107, 153, 188, 174, 161 meV/atom
Calculated volume per entry: 147.6, 294.0, 97.4, 191.4, 193.7, 77.2 Å³/cell